This record from the Alexandria database describes Nd3DyY3S8 after structural relaxation. The functional is PBE.

The magnetic moment is 0.000 μB/cell. The calculation puts the raw total energy at -0.2502 Ha/atom.

The structure belongs to space group R-3m (No. 166, hexagonal axes); the cell edges are 7.9260, 7.9260 and 19.6849 Å and the angles 90.00°, 90.00° and 120.00°. The distinct sites, in fractional coordinates, are Nd at (0.0000, 0.5000, 0.0000), Dy at (0.0000, 0.0000, 0.5000), Y at (0.0000, 0.5000, 0.5000), S at (0.0000, 0.0000, 0.2455) and S at (0.0013, 0.5006, 0.7542).